No. 1
Crystalline SrPrPd at its relaxed geometry. Source: Alexandria via LeMat-Bulk, functional GGA-PBE.

Calculated values
- Energy relative to the elements: -414 meV/atom
- Mass density: 5.4 g cm⁻³
- E: -4.30 eV per atom
- Density of states at the Fermi level: 12.84 states/eV per cell

Cell: 7.491 7.434 8.011 Å, 90.00 111.38 90.00°
Fractional positions:
Sr  0.513  0.811  0.815
Sr  0.487  0.189  0.185
Sr  0.987  0.311  0.185
Sr  0.013  0.689  0.815
Pd  0.786  0.467  0.457
Pd  0.714  0.967  0.543
Pd  0.214  0.533  0.543
Pd  0.286  0.033  0.457
Pr  0.932  0.807  0.333
Pr  0.068  0.193  0.667
Pr  0.432  0.693  0.333
Pr  0.568  0.307  0.667



No. 2
Crystalline La3In8Au3 at its relaxed geometry. Source: Alexandria via LeMat-Bulk, functional GGA-PBE.

Calculated values
- Energy relative to the elements: -492 meV/atom
- Mass density: 9.0 g cm⁻³
- E: -3.82 eV per atom
- Density of states at the Fermi level: 7.44 states/eV per cell

Cell: 4.826 9.147 9.018 Å, 71.19 74.48 74.70°
Fractional positions:
In  0.652  0.963  0.732
In  0.502  0.319  0.676
In  0.147  0.573  0.133
In  0.146  0.140  0.568
In  0.348  0.037  0.268
In  0.853  0.427  0.867
In  0.498  0.681  0.324
In  0.854  0.860  0.432
La  0.702  0.312  0.284
La  0.000  0.000  0.000
La  0.298  0.688  0.716
Au  0.000  0.500  0.500
Au  0.347  0.296  0.009
Au  0.653  0.704  0.991



No. 3
Crystalline NaHoIn4O8 at its relaxed geometry. Source: Alexandria via LeMat-Bulk, functional GGA-PBE.

Calculated values
- Mass density: 6.3 g cm⁻³
- E: -5.91 eV per atom
- Uncorrected formation energy: -1.869 eV/atom

Cell: 6.601 6.601 6.619 Å, 60.09 60.09 60.00°
Fractional positions:
In  0.004  0.490  0.503
In  0.490  0.004  0.503
In  0.004  0.004  0.503
In  0.622  0.622  0.134
O  0.237  0.237  0.289
O  0.755  0.226  0.264
O  0.239  0.239  0.731
O  0.790  0.239  0.731
O  0.758  0.758  0.726
O  0.226  0.755  0.264
O  0.755  0.755  0.264
O  0.239  0.790  0.731
Na  0.377  0.377  0.870
Ho  0.004  0.004  0.988



No. 4
Crystalline Na8B11C5 at its relaxed geometry. Source: Alexandria via LeMat-Bulk, functional GGA-PBE.

Calculated values
- Energy relative to the elements: 130 meV/atom
- Mass density: 2.4 g cm⁻³
- E: -5.29 eV per atom
- Density of states at the Fermi level: 3.48 states/eV per cell

Cell: 5.853 5.626 8.594 Å, 90.00 90.00 118.73°
Fractional positions:
Na  0.500  0.000  0.497
Na  0.500  0.501  0.003
Na  0.999  0.999  0.002
Na  0.500  0.501  0.497
Na  0.997  0.498  0.999
Na  0.999  0.999  0.498
Na  0.500  0.000  0.003
Na  0.997  0.498  0.501
B  0.677  0.339  0.250
B  0.364  0.182  0.750
B  0.821  0.661  0.750
B  0.152  0.334  0.250
B  0.363  0.682  0.750
B  0.669  0.835  0.250
B  0.151  0.826  0.750
B  0.345  0.173  0.250
B  0.821  0.160  0.750
B  0.152  0.817  0.250
B  0.151  0.325  0.750
C  0.663  0.332  0.750
C  0.838  0.170  0.250
C  0.838  0.668  0.250
C  0.663  0.832  0.750
C  0.340  0.670  0.250